[1]
# WAuSe2, PBEsol geometry, DFT SCAN
data_WAuSe2
_chemical_formula_sum 'W1 Au1 Se2'
_cell_length_a 5.294
_cell_length_b 5.294
_cell_length_c 2.707
_cell_angle_alpha 90.00
_cell_angle_beta 90.00
_cell_angle_gamma 107.04
_space_group_name_H-M_alt 'P 1'
_space_group_IT_number 1
loop_
_space_group_symop_operation_xyz
'x,y,z'
loop_
_atom_site_label
_atom_site_type_symbol
_atom_site_fract_x
_atom_site_fract_y
_atom_site_fract_z
W1 W 0.000 0.000 0.000
Au1 Au 0.500 0.500 0.000
Se1 Se 0.000 0.500 0.000
Se2 Se 0.500 0.000 0.000
# Raw total energy: -44.07 eV/atom
# Crystal system: orthorhombic
# Space group: No. 65
# DOS(E_F): 2.6 states/eV/f.u.
# Total magnetization: 0.00 μB/f.u.
# ΔE to the lowest computed polymorph: 463 meV per atom
# ΔE_f (raw): 0.68 eV/atom


[2]
# WAuSe2, PBEsol geometry, DFT SCAN
data_WAuSe2
_chemical_formula_sum 'W1 Au1 Se2'
_cell_length_a 3.523
_cell_length_b 7.145
_cell_length_c 7.145
_cell_angle_alpha 27.61
_cell_angle_beta 90.00
_cell_angle_gamma 90.00
_space_group_name_H-M_alt 'P 1'
_space_group_IT_number 1
loop_
_space_group_symop_operation_xyz
'x,y,z'
loop_
_atom_site_label
_atom_site_type_symbol
_atom_site_fract_x
_atom_site_fract_y
_atom_site_fract_z
W1 W 0.000 0.000 0.000
Au1 Au 0.500 0.595 0.595
Se1 Se 0.000 0.180 0.180
Se2 Se 0.500 0.878 0.878
# Raw total energy: -44.54 eV/atom
# Crystal system: orthorhombic
# Space group: No. 38
# DOS(E_F): 2.1 states/eV/f.u.
# Total magnetization: 0.00 μB/f.u.
# ΔE to the lowest computed polymorph: 0 meV per atom
# ΔE_f (raw): 0.21 eV/atom


[3]
# WAu2Se, PBEsol geometry, DFT SCAN
data_WAu2Se
_chemical_formula_sum 'W1 Au2 Se1'
_cell_length_a 4.544
_cell_length_b 4.544
_cell_length_c 4.544
_cell_angle_alpha 60.00
_cell_angle_beta 60.00
_cell_angle_gamma 60.00
_space_group_name_H-M_alt 'P 1'
_space_group_IT_number 1
loop_
_space_group_symop_operation_xyz
'x,y,z'
loop_
_atom_site_label
_atom_site_type_symbol
_atom_site_fract_x
_atom_site_fract_y
_atom_site_fract_z
W1 W 0.000 0.000 0.000
Au1 Au 0.250 0.250 0.250
Au2 Au 0.500 0.500 0.500
Se1 Se 0.750 0.750 0.750
# Raw total energy: -56.34 eV/atom
# Crystal system: cubic
# Space group: No. 216
# DOS(E_F): 1.9 states/eV/f.u.
# Total magnetization: 0.00 μB/f.u.
# ΔE_f (raw): 0.68 eV/atom


Question: Which formula does entry 1 have?
Answer: WAuSe2


Question: The lowest DOS(E_F) belongs to which entry?
Answer: WAu2Se